A geometry-optimized TbPa2Tc3 structure, computed with GGA-PBE.

Cell lengths 3.4595, 3.4595, 10.3419 Å; angles 90.00, 90.00, 90.00 degrees
With the nearest neighbours (Å) after each atom.
Space group P4/mmm (No. 123)
Unique sites:
Tb 0.0000 0.0000 0.0000  8 Tc 3.17, 2 Pa 3.42, 4 Tb 3.46
Pa 0.0000 0.0000 0.3306  8 Tc 2.82-3.01
Tc 0.5000 0.5000 0.1957  4 Pa 2.82, 1 Tc 3.15
Tc 0.5000 0.5000 0.5000  8 Pa 3.01, 2 Tc 3.15

Computed properties:
The excess energy over the best structure of this formula in the dataset is 0 meV/atom. The value obtained for the formation enthalpy at 0 K is -0.204 eV/atom. The calculation puts the density at 12.28 Mg/m³.

---

A geometry-optimized TbPaZnTc structure, computed with GGA-PBE.

Cell lengths 6.9816, 6.9816, 6.9816 Å; angles 90.00, 90.00, 90.00 degrees
With the nearest neighbours (Å) after each atom.
Space group F-43m (No. 216)
Unique sites:
Tb 0.0000 0.0000 0.0000  4 Tc 3.02, 4 Zn 3.02
Pa 0.0000 0.0000 0.5000  4 Tc 3.02, 4 Zn 3.02
Zn 0.2500 0.2500 0.7500  4 Tb 3.02, 4 Pa 3.02
Tc 0.2500 0.2500 0.2500  4 Tb 3.02, 4 Pa 3.02

Computed properties:
The value obtained for the formation enthalpy at 0 K is -0.070 eV/atom. The calculation puts the density at 10.80 Mg/m³.

---

A geometry-optimized TbPa3Te6 structure, computed with GGA-PBE.

Cell lengths 11.1837, 15.5617, 4.3857 Å; angles 90.00, 90.00, 90.00 degrees
With the nearest neighbours (Å) after each atom.
Space group Cmmm (No. 65)
Unique sites:
Tb 0.0000 0.0000 0.0000  4 Te 3.18
Pa 0.0000 0.5000 0.0000  4 Te 3.02
Pa 0.2500 0.2500 0.5000  6 Te 3.05-3.21
Te 0.0000 0.1484 0.5000  2 Tb 3.18, 2 Pa 3.21
Te 0.2168 0.3839 0.0000  3 Pa 3.02-3.05

Computed properties:
The total energy is -5.700 eV per atom. The calculation puts the density at 7.04 Mg/m³.

---

A geometry-optimized Tb2PaTe structure, computed with GGA-PBE.

Cell lengths 3.4913, 3.4913, 33.5857 Å; angles 90.00, 90.00, 120.00 degrees
With the nearest neighbours (Å) after each atom.
Space group R-3m (No. 166, hexagonal axes)
Unique sites:
Tb 0.0000 0.0000 0.0969  3 Te 3.09, 1 Pa 3.25
Pa 0.0000 0.0000 0.0000  2 Tb 3.25, 6 Pa 3.49
Te 0.0000 0.0000 0.5000  6 Tb 3.09

Computed properties:
The total energy is -5.429 eV per atom. The calculation puts the density at 9.51 Mg/m³.

---

A geometry-optimized Tb2Pa2Te7 structure, computed with GGA-PBE.

Cell lengths 4.2514, 16.1139, 9.7355 Å; angles 90.00, 90.00, 90.00 degrees
With the nearest neighbours (Å) after each atom.
Space group Imm2 (No. 44)
Unique sites:
Tb 0.0000 0.2389 0.0000  7 Te 3.07-3.25
Pa 0.0000 0.0000 0.7709  7 Te 3.06-3.20
Pa 0.0000 0.5000 0.8221  8 Te 3.11-3.23
Te 0.0000 0.0000 0.0850  3 Pa 3.06-3.14
Te 0.0000 0.1084 0.4951  3 Pa 3.20-3.23, 2 Tb 3.25, 1 Te 3.49
Te 0.0000 0.3200 0.7057  3 Tb 3.07-3.15, 1 Pa 3.11
Te 0.0000 0.3621 0.3151  2 Pa 3.10, 2 Tb 3.23

Computed properties:
The excess energy over the best structure of this formula in the dataset is 0 meV/atom. The calculation puts the density at 8.33 Mg/m³.

---

A geometry-optimized TbPaTe3 structure, computed with GGA-PBE.

Cell lengths 4.3155, 4.3155, 22.3046 Å; angles 90.00, 90.00, 120.00 degrees
With the nearest neighbours (Å) after each atom.
Space group P6_3mc (No. 186)
Unique sites:
Tb 0.3333 0.6667 0.0000  6 Te 3.00-3.19
Pa 0.0000 0.0000 0.1774  6 Te 3.07-3.17
Te 0.0000 0.0000 0.4255  3 Tb 3.00
Te 0.3333 0.6667 0.2578  3 Pa 3.07
Te 0.3333 0.6667 0.5895  3 Pa 3.17, 3 Tb 3.19

Computed properties:
The total energy is -5.716 eV per atom. The calculation puts the density at 7.13 Mg/m³.

---

A geometry-optimized TbPa2Te4 structure, computed with GGA-PBE.

Cell lengths 4.1346, 13.7329, 15.6608 Å; angles 90.00, 90.00, 90.00 degrees
With the nearest neighbours (Å) after each atom.
Space group Cmcm (No. 63)
Unique sites:
Tb 0.0000 0.1010 0.2500  6 Te 3.10-3.11
Pa 0.0000 0.3488 0.0603  6 Te 3.08-3.19
Te 0.0000 0.0000 0.0000  4 Pa 3.08
Te 0.0000 0.2960 0.6326  3 Pa 3.08-3.11, 2 Tb 3.11
Te 0.0000 0.4326 0.2500  2 Tb 3.10, 2 Pa 3.19

Computed properties:
The total energy is -6.032 eV per atom. The calculation puts the density at 8.45 Mg/m³.

---

A geometry-optimized Tb2Pa2Te7 structure, computed with GGA-PBE.

Cell lengths 5.2310, 5.2310, 14.7517 Å; angles 90.00, 90.00, 90.00 degrees
With the nearest neighbours (Å) after each atom.
Space group P-4m2 (No. 115)
Unique sites:
Tb 0.0000 0.5000 0.1362  6 Te 3.01-3.30
Pa 0.0000 0.5000 0.6259  8 Te 3.14-3.31
Te 0.0000 0.0000 0.2367  2 Tb 3.01, 2 Pa 3.31
Te 0.0000 0.0000 0.5000  4 Pa 3.21
Te 0.5000 0.5000 0.0000  4 Tb 3.30
Te 0.5000 0.5000 0.2562  2 Pa 3.14, 2 Tb 3.16
Te 0.5000 0.5000 0.5000  4 Pa 3.21

Computed properties:
The excess energy over the best structure of this formula in the dataset is 173 meV/atom. The calculation puts the density at 6.88 Mg/m³.

---

A geometry-optimized Tb3PaTe6 structure, computed with GGA-PBE.

Cell lengths 12.0095, 14.9241, 7.6157 Å; angles 90.00, 90.00, 90.00 degrees
With the nearest neighbours (Å) after each atom.
Space group Cmc2_1 (No. 36)
Unique sites:
Tb 0.0000 0.0920 0.0000  7 Te 3.14-3.25
Tb 0.1846 0.3975 0.8876  7 Te 3.09-3.44
Pa 0.0000 0.3358 0.3663  5 Te 3.03-3.15
Te 0.0000 0.2664 0.7437  1 Pa 3.06, 3 Tb 3.15-3.25
Te 0.0000 0.4952 0.1134  2 Pa 3.06-3.15, 2 Tb 3.16
Te 0.1666 0.0371 0.7011  4 Tb 3.09-3.17
Te 0.1715 0.2304 0.1595  1 Pa 3.03, 3 Tb 3.11-3.24

Computed properties:
The total energy is -5.317 eV per atom. The calculation puts the density at 7.17 Mg/m³.

---

A geometry-optimized TbPa2Te6 structure, computed with GGA-PBE.

Cell lengths 7.2976, 7.2976, 13.2837 Å; angles 90.00, 90.00, 90.00 degrees
With the nearest neighbours (Å) after each atom.
Space group P4_2/mnm (No. 136)
Unique sites:
Tb 0.0000 0.0000 0.0000  6 Te 3.08-3.11
Pa 0.0000 0.0000 0.3336  6 Te 3.02-3.06
Te 0.1989 0.1989 0.5000  2 Pa 3.02, 1 Tb 3.11
Te 0.2033 0.2033 0.1699  2 Pa 3.02-3.06, 1 Tb 3.08

Computed properties:
The total energy is -5.572 eV per atom. The calculation puts the density at 6.51 Mg/m³.

---

A geometry-optimized Tb2Pa3Te8 structure, computed with GGA-PBE.

Cell lengths 15.7350, 8.5354, 7.2246 Å; angles 90.00, 105.70, 90.00 degrees
With the nearest neighbours (Å) after each atom.
Space group C2/m (No. 12)
Unique sites:
Tb 0.2482 0.0000 0.3244  6 Te 3.08-3.16
Pa 0.0000 0.0000 0.5000  6 Te 3.10-3.11
Pa 0.0000 0.2335 0.0000  6 Te 3.06-3.11
Te 0.1072 0.5000 0.8914  2 Pa 3.06, 1 Tb 3.09
Te 0.1242 0.2550 0.4122  2 Pa 3.09-3.10, 2 Tb 3.10-3.16
Te 0.1343 0.0000 0.9047  1 Tb 3.08, 3 Pa 3.11

Computed properties:
The total energy is -5.768 eV per atom. The calculation puts the density at 7.22 Mg/m³.

---

A geometry-optimized Tb3PaTl3Te8 structure, computed with GGA-PBE.

Cell lengths 8.8695, 8.8695, 24.7782 Å; angles 90.00, 90.00, 120.00 degrees
With the nearest neighbours (Å) after each atom.
Space group R-3m (No. 166, hexagonal axes)
Unique sites:
Tb 0.0000 0.5000 0.0000  6 Te 3.11
Pa 0.0000 0.0000 0.0000  6 Te 3.11
Tl 0.0000 0.5000 0.5000  6 Te 3.48-3.49
Te 0.0000 0.0000 0.2619  3 Tb 3.11, 3 Tl 3.48
Te 0.9997 0.4998 0.2622  1 Pa 3.11, 2 Tb 3.11

Computed properties:
The total energy is -4.713 eV per atom. The calculation puts the density at 6.91 Mg/m³.

---

A geometry-optimized Tb3PaTl4Te8 structure, computed with GGA-PBE.

Cell lengths 8.8694, 8.8694, 24.8073 Å; angles 90.00, 90.00, 120.00 degrees
With the nearest neighbours (Å) after each atom.
Space group R-3m (No. 166, hexagonal axes)
Unique sites:
Tb 0.0000 0.5000 0.0000  6 Te 3.11-3.12
Pa 0.0000 0.0000 0.0000  6 Te 3.12
Tl 0.0000 0.0000 0.5000  6 Te 3.47
Tl 0.0000 0.5000 0.5000  6 Te 3.47-3.49
Te 0.0000 0.0000 0.2620  3 Tb 3.11, 3 Tl 3.49
Te 0.9999 0.5000 0.2612  1 Pa 3.12, 2 Tb 3.12, 3 Tl 3.47

Computed properties:
The total energy is -4.553 eV per atom. The calculation puts the density at 7.51 Mg/m³.

---

A geometry-optimized TbThPa structure, computed with GGA-PBE.

Cell lengths 3.3962, 3.3962, 52.8430 Å; angles 90.00, 90.00, 120.00 degrees
With the nearest neighbours (Å) after each atom.
Space group R-3m (No. 166, hexagonal axes)
Unique sites:
Tb 0.0000 0.0000 0.2462  6 Tb 3.40, 3 Pa 3.43, 3 Th 3.67
Th 0.0000 0.0000 0.3617  9 Th 3.40-3.59, 3 Tb 3.67
Pa 0.0000 0.0000 0.1405  9 Pa 3.39-3.40, 3 Tb 3.43

Computed properties:
The excess energy over the best structure of this formula in the dataset is 0 meV/atom. The value obtained for the formation enthalpy at 0 K is 0.142 eV/atom. The calculation puts the density at 11.74 Mg/m³.

---

A geometry-optimized TbThPa structure, computed with GGA-PBE.

Cell lengths 5.5160, 5.5160, 3.3522 Å; angles 90.00, 90.00, 120.00 degrees
With the nearest neighbours (Å) after each atom.
Space group P-6m2 (No. 187)
Unique sites:
Tb 0.0000 0.0000 0.0000  3 Pa 3.18, 2 Tb 3.35
Th 0.6667 0.3333 0.5000  2 Th 3.35, 6 Tb 3.60, 6 Pa 3.60
Pa 0.3333 0.6667 0.0000  3 Tb 3.18, 2 Pa 3.35

Computed properties:
The excess energy over the best structure of this formula in the dataset is 135 meV/atom. The value obtained for the formation enthalpy at 0 K is 0.277 eV/atom. The calculation puts the density at 11.69 Mg/m³.

---

A geometry-optimized TbThPa2 structure, computed with GGA-PBE.

Cell lengths 4.7152, 4.7152, 5.0097 Å; angles 90.00, 90.00, 90.00 degrees
With the nearest neighbours (Å) after each atom.
Space group P4/mmm (No. 123)
Unique sites:
Tb 0.0000 0.0000 0.0000  4 Th 3.33, 8 Pa 3.44
Th 0.5000 0.5000 0.0000  4 Tb 3.33, 8 Pa 3.44
Pa 0.0000 0.5000 0.5000  4 Pa 3.33, 4 Th 3.44, 4 Tb 3.44

Computed properties:
The excess energy over the best structure of this formula in the dataset is 0 meV/atom. The value obtained for the formation enthalpy at 0 K is 0.204 eV/atom. The calculation puts the density at 12.72 Mg/m³.

---

A geometry-optimized TbThPa structure, computed with GGA-PBE.

Cell lengths 3.3845, 3.3845, 15.4343 Å; angles 90.00, 90.00, 90.00 degrees
With the nearest neighbours (Å) after each atom.
Space group I4mm (No. 107)
Unique sites:
Tb 0.0000 0.0000 0.0000  4 Tb 3.38, 4 Pa 3.46, 4 Th 3.67
Th 0.0000 0.0000 0.6803  4 Th 3.38, 4 Pa 3.42, 4 Tb 3.67
Pa 0.0000 0.0000 0.3383  4 Pa 3.38, 4 Th 3.42, 4 Tb 3.46

Computed properties:
The excess energy over the best structure of this formula in the dataset is 10 meV/atom. The value obtained for the formation enthalpy at 0 K is 0.152 eV/atom. The calculation puts the density at 11.68 Mg/m³.

---

A geometry-optimized TbThPa2 structure, computed with GGA-PBE.

Cell lengths 7.6729, 7.6729, 7.6729 Å; angles 90.00, 90.00, 90.00 degrees
With the nearest neighbours (Å) after each atom.
Space group Fm-3m (No. 225)
Unique sites:
Tb 0.0000 0.0000 0.0000  8 Pa 3.32
Th 0.0000 0.0000 0.5000  8 Pa 3.32
Pa 0.2500 0.2500 0.2500  4 Tb 3.32, 4 Th 3.32

Computed properties:
The excess energy over the best structure of this formula in the dataset is 246 meV/atom. The value obtained for the formation enthalpy at 0 K is 0.450 eV/atom. The calculation puts the density at 12.54 Mg/m³.

---

A geometry-optimized TbTh2Pa structure, computed with GGA-PBE.

Cell lengths 3.3653, 3.3653, 37.3227 Å; angles 90.00, 90.00, 120.00 degrees
With the nearest neighbours (Å) after each atom.
Space group R-3m (No. 166, hexagonal axes)
Unique sites:
Tb 0.0000 0.0000 0.0000  2 Th 3.27, 6 Tb 3.37
Th 0.0000 0.0000 0.0876  1 Tb 3.27, 6 Th 3.37, 3 Pa 3.53
Pa 0.0000 0.0000 0.5000  6 Pa 3.37, 6 Th 3.53

Computed properties:
The excess energy over the best structure of this formula in the dataset is 212 meV/atom. The value obtained for the formation enthalpy at 0 K is 0.296 eV/atom. The calculation puts the density at 11.62 Mg/m³.

---

A geometry-optimized TbTh2Pa structure, computed with GGA-PBE.

Cell lengths 3.5003, 3.5003, 34.2869 Å; angles 90.00, 90.00, 120.00 degrees
With the nearest neighbours (Å) after each atom.
Space group R3m (No. 160, hexagonal axes)
Unique sites:
Tb 0.0000 0.0000 0.0000  6 Tb 3.50, 6 Th 3.53-3.63
Th 0.0000 0.0000 0.2454  3 Pa 3.43, 6 Th 3.50, 3 Tb 3.63
Th 0.0000 0.0000 0.4177  3 Pa 3.41, 6 Th 3.50, 3 Tb 3.53
Pa 0.0000 0.0000 0.8312  6 Th 3.41-3.43, 6 Pa 3.50

Computed properties:
The excess energy over the best structure of this formula in the dataset is 20 meV/atom. The value obtained for the formation enthalpy at 0 K is 0.104 eV/atom. The calculation puts the density at 11.69 Mg/m³.